The following is a GGA+U calculation of a relaxed structure of WSN2F, from Alexandria via LeMat-Bulk.

Lattice parameters (Å, degrees): 3.537 3.537 4.946 90.00 90.00 90.00
Fractional positions:
W 0.000 0.000 0.000
S 0.500 0.500 0.500
N 0.000 0.500 0.500
N 0.500 0.000 0.500
F 0.500 0.500 0.000

## Properties
Uncorrected energy (eV/cell): -21.89
Symmetry: P4/mmm
M_tot (Bohr magnetons per cell): 0.507
E above lowest polymorph (meV/atom): 1185